This record from Alexandria via LeMat-Bulk describes crystalline Mg5SnIr4 at its relaxed geometry. The functional is GGA-PBE.

Computed properties:
ΔE_f = -308.1 meV per atom
Calculated total energy = -101.00 eV for the cell shown
Magnetic moment = 0.0000 μB/atom

a b c (Å): 14.019 4.428 5.554
angles (deg): 90.00 108.92 90.00
Space group C2/m (No. 12)
One atom of each set of equivalent atoms:
Mg (0.000, 0.000, 0.000)
Mg (0.112, 0.500, 0.897)
Mg (0.210, 0.000, 0.309)
Sn (0.000, 0.000, 0.500)
Ir (0.093, 0.500, 0.376)
Ir (0.197, 0.000, 0.793)